A plane-wave DFT calculation with PBE was carried out for an optimized crystal structure of K2RbNb2O7. Values from VASP.

Quantum ESPRESSO input file:
```
&SYSTEM
  ibrav = 0, nat = 12, ntyp = 4
/
ATOMIC_SPECIES
K 39.10 K.upf
Rb 85.47 Rb.upf
Nb 92.91 Nb.upf
O 16.00 O.upf
CELL_PARAMETERS angstrom
-2.729 1.245 -2.788
-0.624 -3.886 -1.131
-9.755 -2.191 5.609
ATOMIC_POSITIONS crystal
K 0.803 0.803 0.383
K 0.197 0.197 0.617
Rb 0.000 0.000 0.000
Nb 0.615 0.615 0.801
Nb 0.385 0.385 0.199
O 0.500 0.500 0.000
O 0.322 0.322 0.368
O 0.678 0.678 0.632
O 0.912 0.411 0.189
O 0.411 0.912 0.189
O 0.589 0.088 0.811
O 0.088 0.589 0.811
```

Values from the calculation:
SG ... No. 12
Formation energy (no corrections) ... -2.16 eV/atom
Spin magnetization ... 1.0 μB/cell